[1]
Below is a relaxed Pa2Tc2Sn crystal, with properties calculated at the GGA-PBE level.

Calculated volume ... 105.4 Å³ per cell
Energy relative to the elements ... -275 meV per atom

Lattice parameters (Å, degrees): 4.628 6.015 5.361 124.12 115.57 90.00
Atoms (fractional coordinates):
Tc 0.500 0.750 0.000
Tc 0.500 0.250 0.000
Pa 0.188 0.688 0.377
Pa 0.812 0.312 0.623
Sn 0.000 0.000 0.000

[2]
Below is a relaxed Pa3Tc4Sn2 crystal, with properties calculated at the GGA-PBE level.

Calculated volume ... 192.6 Å³ per cell
Energy relative to the elements ... -228 meV per atom

Lattice parameters (Å, degrees): 4.727 5.024 9.189 89.79 90.00 118.06
Atoms (fractional coordinates):
Tc 0.905 0.809 0.363
Tc 0.095 0.191 0.637
Tc 0.740 0.480 0.081
Tc 0.260 0.520 0.919
Sn 0.327 0.653 0.221
Sn 0.673 0.347 0.779
Pa 0.000 0.000 0.000
Pa 0.633 0.267 0.409
Pa 0.367 0.733 0.591

[3]
Below is a relaxed PaTcSn crystal, with properties calculated at the GGA-PBE level.

Calculated volume ... 288.2 Å³ per cell
Energy relative to the elements ... -283 meV per atom
Energy above the most stable polymorph in this dataset ... 96.3 meV/atom

Lattice parameters (Å, degrees): 6.560 5.980 7.351 90.00 92.20 90.00
Atoms (fractional coordinates):
Pa 0.296 0.861 0.890
Pa 0.796 0.639 0.390
Pa 0.704 0.139 0.110
Pa 0.204 0.361 0.610
Tc 0.030 0.839 0.646
Tc 0.530 0.661 0.146
Tc 0.470 0.339 0.854
Tc 0.970 0.161 0.354
Sn 0.180 0.385 0.108
Sn 0.320 0.885 0.392
Sn 0.820 0.615 0.892
Sn 0.680 0.115 0.608

[4]
Below is a relaxed Pa3Tc5Sn crystal, with properties calculated at the GGA-PBE level.

Calculated volume ... 364.6 Å³ per cell
Energy relative to the elements ... 274 meV per atom

Lattice parameters (Å, degrees): 8.135 8.135 7.964 120.71 120.71 90.00
Atoms (fractional coordinates):
Pa 0.370 0.870 0.000
Pa 0.750 0.750 0.500
Pa 0.250 0.250 0.500
Pa 0.130 0.370 0.000
Pa 0.630 0.130 0.000
Pa 0.870 0.630 0.000
Tc 0.930 0.430 0.269
Tc 0.662 0.162 0.731
Tc 0.162 0.070 0.731
Tc 0.000 0.000 0.000
Tc 0.500 0.500 0.000
Tc 0.070 0.570 0.731
Tc 0.338 0.838 0.269
Tc 0.430 0.338 0.269
Tc 0.838 0.930 0.269
Tc 0.570 0.662 0.731
Sn 0.250 0.750 0.500
Sn 0.750 0.250 0.500

[5]
Below is a relaxed PaTc2Sn2 crystal, with properties calculated at the GGA-PBE level.

Calculated volume ... 107.9 Å³ per cell
Energy relative to the elements ... -135 meV per atom

Lattice parameters (Å, degrees): 4.613 4.613 5.774 85.31 85.31 61.87
Atoms (fractional coordinates):
Sn 0.670 0.170 0.647
Sn 0.330 0.830 0.353
Pa 0.000 0.500 0.000
Tc 0.696 0.196 0.157
Tc 0.304 0.804 0.843

[6]
Below is a relaxed Pa4Tc5Sn crystal, with properties calculated at the GGA-PBE level.

Calculated volume ... 415.0 Å³ per cell
Energy relative to the elements ... -63 meV per atom

Lattice parameters (Å, degrees): 5.330 9.601 8.110 90.00 90.00 90.00
Atoms (fractional coordinates):
Tc 0.236 0.000 0.500
Tc 0.742 0.233 0.190
Tc 0.258 0.733 0.690
Tc 0.742 0.233 0.810
Tc 0.742 0.767 0.810
Tc 0.258 0.267 0.310
Tc 0.258 0.733 0.310
Tc 0.258 0.267 0.690
Tc 0.764 0.500 0.000
Tc 0.742 0.767 0.190
Pa 0.879 0.500 0.301
Pa 0.879 0.500 0.699
Pa 0.749 0.195 0.500
Pa 0.121 0.000 0.199
Pa 0.749 0.805 0.500
Pa 0.251 0.695 0.000
Pa 0.121 0.000 0.801
Pa 0.251 0.305 0.000
Sn 0.385 0.500 0.500
Sn 0.615 0.000 0.000